Record 1
Ba2ReN3 PBEsol relaxed; energy relative to the elements, uncorrected = -0.726 eV per atom; total DFT energy (no corrections) = -0.58264 Ry per atom
1.0
2.9677 -5.8425 0.0000
2.9677 5.8425 0.0000
0.0000 0.0000 13.2605
Ba Re N
8 4 12
Direct
0.0657 0.9343 0.8660
0.1405 0.8595 0.4179
0.3595 0.6405 0.9179
0.4343 0.5657 0.3660
0.5657 0.4343 0.6340
0.6405 0.3595 0.0821
0.8595 0.1405 0.5821
0.9343 0.0657 0.1340
0.2402 0.7598 0.6626
0.2598 0.7402 0.1626
0.7402 0.2598 0.8374
0.7598 0.2402 0.3374
0.0153 0.4847 0.7500
0.0894 0.9106 0.6229
0.1615 0.8385 0.0514
0.3385 0.6615 0.5514
0.4106 0.5894 0.1229
0.4847 0.0153 0.2500
0.5153 0.9847 0.7500
0.5894 0.4106 0.8771
0.6615 0.3385 0.4486
0.8385 0.1615 0.9486
0.9106 0.0894 0.3771
0.9847 0.5153 0.2500

---

Record 2
BaReSN2 PBEsol relaxed; energy relative to the elements, uncorrected = -0.449 eV per atom; total DFT energy (no corrections) = -0.57569 Ry per atom
1.0
4.0344 0.0000 0.0000
0.0000 4.0344 0.0000
0.0000 0.0000 4.8225
Ba Re S N
1 1 1 2
Direct
0.0000 0.0000 0.0000
0.5000 0.5000 0.5000
0.5000 0.5000 0.0000
0.0000 0.5000 0.5000
0.5000 0.0000 0.5000

---

- The lowest energy relative to the elements, uncorrected belongs to which entry?
  Ba2ReN3